Below is an optimized crystal structure of LaNi2BW, with properties calculated at the GGA-PBE level.

Lattice parameters (Å, degrees): 4.518 4.518 4.437 90.00 90.00 90.00
Positions (direct):
La: 0.000 0.000 0.000
Ni: 0.000 0.500 0.000
Ni: 0.500 0.000 0.000
B: 0.000 0.000 0.500
W: 0.500 0.500 0.500

* energy above the most stable polymorph in this dataset: 1.760 eV/atom
* calculated formation energy: 2216 meV/atom
* DOS at the Fermi energy: 6.981 states/eV/f.u.



Below is an optimized crystal structure of LaNpB, with properties calculated at the GGA-PBE level.

Lattice parameters (Å, degrees): 10.413 10.413 3.627 90.00 90.00 160.41
Positions (direct):
La: 0.172 0.828 0.750
La: 0.828 0.172 0.250
Np: 0.461 0.539 0.250
Np: 0.539 0.461 0.750
B: 0.061 0.939 0.250
B: 0.939 0.061 0.750

* calculated formation energy: 219 meV/atom
* DOS at the Fermi energy: 4.458 states/eV/f.u.



Below is an optimized crystal structure of LaNpB2O8, with properties calculated at the GGA-PBE level.

Lattice parameters (Å, degrees): 5.045 5.045 7.022 90.00 90.00 120.00
Positions (direct):
La: 0.000 0.000 0.000
Np: 0.000 0.000 0.500
B: 0.333 0.667 0.227
B: 0.667 0.333 0.773
O: 0.175 0.349 0.307
O: 0.175 0.825 0.307
O: 0.333 0.667 0.027
O: 0.349 0.175 0.693
O: 0.651 0.825 0.307
O: 0.667 0.333 0.973
O: 0.825 0.175 0.693
O: 0.825 0.651 0.693

* formation energy (no corrections): -2.513 eV/atom
* DOS at the Fermi energy: 7.281 states/eV/f.u.



Below is an optimized crystal structure of La3B2O8, with properties calculated at the GGA-PBE level.

Lattice parameters (Å, degrees): 7.132 7.132 7.132 42.66 42.66 42.66
Positions (direct):
La: 0.000 0.000 0.000
La: 0.212 0.212 0.212
La: 0.788 0.788 0.788
B: 0.410 0.410 0.410
B: 0.590 0.590 0.590
O: 0.253 0.724 0.724
O: 0.276 0.276 0.747
O: 0.276 0.747 0.276
O: 0.332 0.332 0.332
O: 0.668 0.668 0.668
O: 0.724 0.253 0.724
O: 0.724 0.724 0.253
O: 0.747 0.276 0.276

* formation energy (no corrections): -2.924 eV/atom
* DOS at the Fermi energy: 9.390 states/eV/f.u.



Below is an optimized crystal structure of La3BO, with properties calculated at the GGA-PBE level.

Lattice parameters (Å, degrees): 4.888 4.888 4.888 90.00 90.00 90.00
Positions (direct):
La: 0.000 0.000 0.500
La: 0.000 0.500 0.000
La: 0.500 0.000 0.000
B: 0.500 0.500 0.500
O: 0.000 0.000 0.000

* formation energy (no corrections): -0.753 eV/atom
* energy above the most stable polymorph in this dataset: 0.000 eV/atom
* DOS at the Fermi energy: 3.082 states/eV/f.u.



Below is an optimized crystal structure of LaBO, with properties calculated at the GGA-PBE level.

Lattice parameters (Å, degrees): 15.527 3.259 3.563 90.00 90.00 90.00
Positions (direct):
La: 0.149 0.250 0.001
La: 0.351 0.750 0.501
La: 0.649 0.250 0.499
La: 0.851 0.750 0.999
B: 0.003 0.750 0.500
B: 0.497 0.250 0.000
B: 0.503 0.750 0.000
B: 0.997 0.250 0.500
O: 0.193 0.750 0.501
O: 0.307 0.250 0.001
O: 0.693 0.750 0.999
O: 0.807 0.250 0.499

* formation energy (no corrections): -1.810 eV/atom
* DOS at the Fermi energy: 0.878 states/eV/f.u.



Below is an optimized crystal structure of LaBO3, with properties calculated at the GGA-PBE level.

Lattice parameters (Å, degrees): 5.070 5.070 4.962 93.42 93.42 117.52
Positions (direct):
La: 0.177 0.823 0.500
La: 0.823 0.177 0.000
B: 0.458 0.524 0.916
B: 0.524 0.458 0.416
O: 0.205 0.332 0.384
O: 0.243 0.642 0.937
O: 0.332 0.205 0.884
O: 0.642 0.243 0.437
O: 0.649 0.679 0.682
O: 0.679 0.649 0.182

* formation energy (no corrections): -2.951 eV/atom
* DOS at the Fermi energy: 0.000 states/eV/f.u.



Below is an optimized crystal structure of LaBO3, with properties calculated at the GGA-PBE level.

Lattice parameters (Å, degrees): 3.587 3.587 3.587 90.00 90.00 90.00
Positions (direct):
La: 0.000 0.000 0.000
B: 0.500 0.500 0.500
O: 0.000 0.500 0.500
O: 0.500 0.000 0.500
O: 0.500 0.500 0.000

* formation energy (no corrections): -2.180 eV/atom
* DOS at the Fermi energy: 0.000 states/eV/f.u.



Below is an optimized crystal structure of La2B2O, with properties calculated at the GGA-PBE level.

Lattice parameters (Å, degrees): 8.227 8.227 8.227 158.11 158.11 31.16
Positions (direct):
La: 0.102 0.102 0.000
La: 0.898 0.898 0.000
B: 0.250 0.750 0.500
B: 0.750 0.250 0.500
O: 0.500 0.500 0.000

* formation energy (no corrections): -0.293 eV/atom
* energy above the most stable polymorph in this dataset: 0.583 eV/atom
* DOS at the Fermi energy: 3.838 states/eV/f.u.



Below is an optimized crystal structure of LaBO3, with properties calculated at the GGA-PBE level.

Lattice parameters (Å, degrees): 4.189 5.128 6.423 90.00 108.30 90.00
Positions (direct):
La: 0.116 0.250 0.276
La: 0.884 0.750 0.724
B: 0.499 0.250 0.754
B: 0.501 0.750 0.246
O: 0.171 0.750 0.112
O: 0.343 0.017 0.671
O: 0.343 0.483 0.671
O: 0.657 0.517 0.329
O: 0.657 0.983 0.329
O: 0.829 0.250 0.888

* formation energy (no corrections): -3.096 eV/atom
* DOS at the Fermi energy: 0.000 states/eV/f.u.



Below is an optimized crystal structure of La2B2O, with properties calculated at the GGA-PBE level.

Lattice parameters (Å, degrees): 7.052 7.052 3.951 90.00 90.00 90.00
Positions (direct):
La: 0.211 0.289 0.000
La: 0.289 0.789 0.000
La: 0.711 0.211 0.000
La: 0.789 0.711 0.000
B: 0.077 0.577 0.500
B: 0.423 0.077 0.500
B: 0.577 0.923 0.500
B: 0.923 0.423 0.500
O: 0.000 0.000 0.000
O: 0.500 0.500 0.000

* formation energy (no corrections): -0.876 eV/atom
* energy above the most stable polymorph in this dataset: 0.000 eV/atom
* DOS at the Fermi energy: 1.319 states/eV/f.u.



Below is an optimized crystal structure of LaB2O4, with properties calculated at the GGA-PBE level.

Lattice parameters (Å, degrees): 6.400 6.400 6.400 114.37 113.32 101.05
Positions (direct):
La: 0.250 0.390 0.140
La: 0.750 0.110 0.360
B: 0.145 0.750 0.895
B: 0.355 0.250 0.605
B: 0.722 0.972 0.750
B: 0.778 0.528 0.250
O: 0.020 0.536 0.840
O: 0.195 0.180 0.660
O: 0.305 0.964 0.984
O: 0.480 0.320 0.516
O: 0.512 0.856 0.513
O: 0.657 0.644 0.156
O: 0.843 0.999 0.987
O: 0.988 0.501 0.344

* formation energy (no corrections): -2.349 eV/atom
* energy above the most stable polymorph in this dataset: 0.119 eV/atom
* DOS at the Fermi energy: 0.760 states/eV/f.u.